InMoPb2: optimized geometry, PBE.

Lattice parameters (Å, degrees): 4.299 4.299 21.782 90.00 90.00 90.00
Space group I-42d (No. 122)
Inequivalent atoms, fractional coordinates:
In1 0.000 0.000 0.000 x4
Mo1 0.000 0.000 0.500 x4
Pb1 0.243 0.250 0.625 x8

Computed properties:
- crystal system = tetragonal
- calculated density (Mg/m³) = 10.315
- Fermi-level density of states (states/eV/atom) = 1.30
- calculated total energy (eV/atom) = -4.436
- formation energy (eV per atom) = 0.81

***

TbMg2Sn2: optimized geometry, PBE.

Lattice parameters (Å, degrees): 4.9842 4.9842 12.7668 90.00 90.00 120.00
Space group P6_3/mmc (No. 194)
Inequivalent atoms, fractional coordinates:
Tb1 0.0000 0.0000 0.2500 x2
Mg1 0.0000 0.0000 0.0000 x2
Mg2 0.3333 0.6667 0.2500 x2
Sn1 0.3333 0.6667 0.6258 x4

Computed properties:
- crystal system = hexagonal
- calculated density (Mg/m³) = 5.380
- Fermi-level density of states (states/eV/atom) = 0.57
- calculated total energy (eV/atom) = -3.234
- formation energy (eV per atom) = -0.07
- offset from the most stable computed form (eV/atom) = 0.326

***

KZr2As: optimized geometry, PBE.

Lattice parameters (Å, degrees): 11.551 3.494 5.720 90.00 110.93 90.00
Space group C2/m (No. 12)
Inequivalent atoms, fractional coordinates:
K1 0.000 0.000 0.000 x2
Zr1 0.189 0.000 0.658 x4
As1 0.000 0.500 0.500 x2

Computed properties:
- crystal system = monoclinic
- calculated density (Mg/m³) = 4.566
- Fermi-level density of states (states/eV/atom) = 1.05
- calculated total energy (eV/atom) = -5.680
- formation energy (eV per atom) = 0.03

***

HIBr: optimized geometry, PBE.

Lattice parameters (Å, degrees): 4.798 6.796 7.713 72.58 81.86 77.40
Space group P-1 (No. 2)
Inequivalent atoms, fractional coordinates:
H1 0.084 0.281 0.169 x2
I1 0.381 0.199 0.900 x2
Br1 0.089 0.672 0.670 x2

Computed properties:
- crystal system = triclinic
- calculated density (Mg/m³) = 2.957
- Fermi-level density of states (states/eV/atom) = 0.00
- calculated total energy (eV/atom) = -2.332
- offset from the most stable computed form (eV/atom) = 0.000

***

Please write out number 3 again, unchanged.
KZr2As: optimized geometry, PBE.

Lattice parameters (Å, degrees): 11.551 3.494 5.720 90.00 110.93 90.00
Space group C2/m (No. 12)
Inequivalent atoms, fractional coordinates:
K1 0.000 0.000 0.000 x2
Zr1 0.189 0.000 0.658 x4
As1 0.000 0.500 0.500 x2

Computed properties:
- crystal system = monoclinic
- calculated density (Mg/m³) = 4.566
- Fermi-level density of states (states/eV/atom) = 1.05
- calculated total energy (eV/atom) = -5.680
- formation energy (eV per atom) = 0.03